{
  "formula": "TlCuO3",
  "functional": "GGA-PBE",
  "state": "optimized geometry",
  "lattice": [[3.5432, 0.0000, 0.0000], [0.0000, 5.6398, 0.0000], [-1.7716, 0.0000, 6.3760]],
  "species": ["Tl", "Tl", "Cu", "Cu", "O", "O", "O", "O", "O", "O"],
  "frac_coords": [[0.3736, 0.4789, 0.7472], [0.6264, 0.9789, 0.2528], [0.8791, 0.9570, 0.7581], [0.1209, 0.4570, 0.2419], [0.9255, 0.2665, 0.8510], [0.0745, 0.7665, 0.1490], [0.5821, 0.4055, 0.1641], [0.4179, 0.9055, 0.8359], [0.7974, 0.6863, 0.5949], [0.2026, 0.1863, 0.4051]],
  "volume_a3_per_atom": 12.7,
  "raw_formation_energy_ev_per_atom": -0.45,
  "energy_ev_per_atom": -4.71
}



{
  "formula": "LaPm3Nd",
  "functional": "GGA-PBE",
  "state": "optimized geometry",
  "lattice": [[3.7186, 0.0000, 0.0000], [0.0000, 8.6441, 1.4095], [-1.8593, 1.1963, 11.2345]],
  "species": ["La", "La", "Pm", "Pm", "Pm", "Pm", "Pm", "Pm", "Nd", "Nd"],
  "frac_coords": [[0.7844, 0.8181, 0.5687], [0.2156, 0.1819, 0.4313], [0.0161, 0.7842, 0.0321], [0.9839, 0.2158, 0.9679], [0.3849, 0.0182, 0.7697], [0.6151, 0.9818, 0.2303], [0.1830, 0.6174, 0.3659], [0.8170, 0.3826, 0.6341], [0.5828, 0.4218, 0.1656], [0.4172, 0.5782, 0.8344]],
  "volume_a3_per_atom": 35.5,
  "de_polymorph_ev_per_atom": 0.0000,
  "energy_ev_per_atom": -4.76,
  "delta_e_f_ev_per_atom": 0.0319
}



{
  "formula": "TmPu2Mn3",
  "functional": "GGA-PBE",
  "state": "optimized geometry",
  "lattice": [[4.5506, 0.3019, 0.2142], [0.3746, 6.7676, -1.2508], [0.3746, 1.0528, 6.8012]],
  "species": ["Tm", "Tm", "Pu", "Pu", "Pu", "Pu", "Mn", "Mn", "Mn", "Mn", "Mn", "Mn"],
  "frac_coords": [[0.1048, 0.3150, 0.3150], [0.8952, 0.6850, 0.6850], [0.5000, 0.7026, 0.2974], [0.0000, 0.8350, 0.1650], [0.0000, 0.1650, 0.8350], [0.5000, 0.2974, 0.7026], [0.7186, 0.4710, 0.0547], [0.7186, 0.0547, 0.4710], [0.2814, 0.5290, 0.9453], [0.6159, 0.1193, 0.1193], [0.3841, 0.8807, 0.8807], [0.2814, 0.9453, 0.5290]],
  "volume_a3_per_atom": 17.8,
  "energy_ev_per_atom": -9.89,
  "delta_e_f_ev_per_atom": 0.2205
}



{
  "formula": "CsCdI2O",
  "functional": "GGA-PBE",
  "state": "optimized geometry",
  "lattice": [[7.1868, 0.0000, 0.0000], [0.0000, 7.1868, 0.0000], [0.0000, 0.0000, 4.4037]],
  "species": ["Cs", "I", "I", "O", "Cd"],
  "frac_coords": [[0.0000, 0.0000, 0.0000], [0.0000, 0.5000, 0.0000], [0.5000, 0.0000, 0.0000], [0.0000, 0.0000, 0.5000], [0.5000, 0.5000, 0.5000]],
  "volume_a3_per_atom": 45.5,
  "de_polymorph_ev_per_atom": 0.8684,
  "raw_formation_energy_ev_per_atom": 0.18,
  "energy_ev_per_atom": -1.79
}



{
  "formula": "SmDy9Tm2",
  "functional": "GGA-PBE",
  "state": "optimized geometry",
  "lattice": [[-3.3030, -0.4434, 1.0469], [3.6367, -3.6302, 9.9365], [-1.9685, 10.8957, -1.5958]],
  "species": ["Sm", "Dy", "Dy", "Dy", "Dy", "Dy", "Dy", "Dy", "Dy", "Dy", "Tm", "Tm"],
  "frac_coords": [[0.0000, 0.0000, 0.0000], [0.0000, 0.0000, 0.5000], [0.0000, 0.5000, 0.5000], [0.0000, 0.5000, 0.0000], [0.5000, 0.3558, 0.1779], [0.5000, 0.1779, 0.8221], [0.5000, 0.1779, 0.3558], [0.5000, 0.8221, 0.6442], [0.5000, 0.8221, 0.1779], [0.5000, 0.6442, 0.8221], [0.0000, 0.3333, 0.6667], [0.0000, 0.6667, 0.3333]],
  "volume_a3_per_atom": 31.5,
  "de_polymorph_ev_per_atom": 0.0185,
  "energy_ev_per_atom": -4.55,
  "delta_e_f_ev_per_atom": 0.0404
}



{
  "formula": "KEuHgBi",
  "functional": "GGA-PBE",
  "state": "optimized geometry",
  "lattice": [[-0.9557, -3.9835, 4.0381], [-0.2152, -5.5641, -1.4429], [4.2345, -3.5510, 1.5961]],
  "species": ["Eu", "K", "Bi", "Hg"],
  "frac_coords": [[0.0000, 0.0000, 0.0000], [0.5000, 0.5000, 0.5000], [0.7500, 0.7500, 0.7500], [0.2500, 0.2500, 0.2500]],
  "volume_a3_per_atom": 33.6,
  "energy_ev_per_atom": -4.44,
  "delta_e_f_ev_per_atom": -0.5511
}



{
  "formula": "Li2CdFeTc",
  "functional": "GGA-PBE",
  "state": "optimized geometry",
  "lattice": [[-1.3497, -4.1309, 0.8931], [0.2485, -1.1115, -4.7659], [4.2204, -1.2674, 0.5157]],
  "species": ["Fe", "Li", "Li", "Tc", "Cd"],
  "frac_coords": [[0.0000, 0.5000, 0.0000], [0.0000, 0.0000, 0.5000], [0.5000, 0.0000, 0.0000], [0.5000, 0.5000, 0.5000], [0.0000, 0.0000, 0.0000]],
  "volume_a3_per_atom": 19.3,
  "energy_ev_per_atom": -3.46,
  "delta_e_f_ev_per_atom": 1.2566
}



{
  "formula": "YSCl2O",
  "functional": "GGA-PBE",
  "state": "optimized geometry",
  "lattice": [[4.3621, 0.0000, 0.0000], [0.0000, 4.3621, 0.0000], [0.0000, 0.0000, 4.7474]],
  "species": ["Y", "S", "O", "Cl", "Cl"],
  "frac_coords": [[0.5000, 0.5000, 0.5000], [0.0000, 0.0000, 0.5000], [0.0000, 0.0000, 0.0000], [0.0000, 0.5000, 0.0000], [0.5000, 0.0000, 0.0000]],
  "volume_a3_per_atom": 18.1,
  "de_polymorph_ev_per_atom": 0.1625,
  "raw_formation_energy_ev_per_atom": -0.48,
  "energy_ev_per_atom": -4.33
}